## Pm5Pr2Sm6 (PBE-GGA)

Data for a geometry-optimized Pm5Pr2Sm6 structure.

The formation energy from the elements comes out at 0.09 eV/atom. The value obtained for the magnetic moment is 0.000 μB per atom.

The structure belongs to space group Pbam (No. 55); the cell edges are 11.9114, 20.8127 and 3.6570 Å and the angles 90.00°, 90.00° and 90.00°. The asymmetric unit holds Pm at (0.0000, 0.0000, 0.0000), Pm at (0.0847, 0.2795, 0.0000), Pm at (0.1998, 0.5553, 0.0000), Pr at (0.1745, 0.7177, 0.5000), Sm at (0.0616, 0.4240, 0.5000), Sm at (0.0756, 0.1355, 0.5000) and Sm at (0.1811, 0.8716, 0.0000).